Ga12Sb5As3 after structural relaxation, computed with PBE.

Cell: 16.1424 16.1424 16.1424 Å, 90.00 90.00 90.00°
Closest atoms and distances in Å follow each position.
Space group Ia-3d (No. 230)
Unique sites:
1 Ga 0.0061 0.0773 0.6574 x96  1 Ga 2.73, 2 Sb 2.73-2.83, 2 As 2.84-2.88
2 Sb 0.0000 0.0000 0.0000 x16  6 Ga 2.83
3 Sb 0.0000 0.2500 0.3750 x24  4 Ga 2.73
4 As 0.0000 0.2500 0.1250 x24  8 Ga 2.84-2.88

Calculated values
uncorrected energy: -552.68 eV/cell
energy relative to the elements, uncorrected: 0.09 eV/atom
V: 26.3 Å³/atom
crystal system: cubic